Compound: Ba3PbI
Source: Alexandria
Functional: SCAN
Structure: single point on PBEsol structure

For the calculated volume, the calculation gives 59.29 Å³/atom. Its formation energy without anion corrections is -0.6449 eV/atom. As for the crystal system: cubic.

The structure belongs to space group Pm-3m (No. 221); the cell edges are 6.6680, 6.6680 and 6.6680 Å and the angles 90.00°, 90.00° and 90.00°. The inequivalent atoms are Ba at (0.0000, 0.0000, 0.5000), Pb at (0.0000, 0.0000, 0.0000) and I at (0.5000, 0.5000, 0.5000).